(1)
The following is a DFT calculation (PBE) of an optimized crystal structure of PmSm2HoEr2.

a b c (Å): 6.632 17.605 3.389
angles (deg): 90.00 90.00 90.00
Space group Pnnm (No. 58)
Unique sites:
Pm: 0.000 0.000 0.000 [2 per cell]
Sm: 0.229 0.349 0.500 [4 per cell]
Ho: 0.000 0.500 0.000 [2 per cell]
Er: 0.234 0.179 0.000 [4 per cell]

DOS(E_F) = 1.531 states/eV/atom
ΔH_f (0 K) = 0.2693 eV per atom

---

(2)
The following is a DFT calculation (PBE) of an optimized crystal structure of CoTcIr2S.

a b c (Å): 4.713 4.713 4.407
angles (deg): 90.00 90.00 90.00
Space group P4/mmm (No. 123)
Unique sites:
Co: 0.000 0.000 0.000 [1 per cell]
Tc: 0.000 0.000 0.500 [1 per cell]
Ir: 0.000 0.500 0.500 [2 per cell]
S: 0.500 0.500 0.000 [1 per cell]

offset from the most stable computed form = 0.123 eV/atom
DOS(E_F) = 1.513 states/eV/atom

---

(3)
The following is a DFT calculation (PBE) of an optimized crystal structure of Te2AsW.

a b c (Å): 3.395 4.050 7.620
angles (deg): 90.00 90.13 90.00
Space group Pm (No. 6)
Unique sites:
Te: 0.000 0.000 0.000 [1 per cell]
Te: 0.498 0.500 0.421 [1 per cell]
As: 0.497 0.000 0.688 [1 per cell]
W: 0.999 0.500 0.720 [1 per cell]

DFT total energy = -5.64 eV/atom
DOS(E_F) = 0.340 states/eV/atom